A plane-wave DFT calculation with GGA-PBE was carried out for a geometry-optimized P2IrSeS structure.

```
P2IrSeS
1.0
4.5243 0.0000 0.0000
0.0000 4.5243 0.0000
0.0000 0.0000 4.9156
Ir P S Se
1 2 1 1
Direct
0.0000 0.0000 0.0000 Ir
0.5000 0.0000 0.0000 P
0.0000 0.5000 0.0000 P
0.0000 0.0000 0.5000 S
0.5000 0.5000 0.5000 Se
```

Summary:
- Density of states at the Fermi level: 4.64 states/eV/f.u.
- Total DFT energy (no corrections): -0.175 hartree per atom
- Uncorrected formation energy: 0.70 eV/atom

***

A plane-wave DFT calculation with GGA-PBE was carried out for a geometry-optimized SiPIrS2 structure.

```
SiPIrS2
1.0
4.8711 0.0000 0.0000
0.0000 4.8711 0.0000
0.0000 0.0000 4.3572
S P Ir Si
2 1 1 1
Direct
0.0000 0.5000 0.0000 S
0.5000 0.0000 0.0000 S
0.0000 0.0000 0.5000 P
0.0000 0.0000 0.0000 Ir
0.5000 0.5000 0.5000 Si
```

Summary:
- Density of states at the Fermi level: 4.87 states/eV/f.u.
- Total DFT energy (no corrections): -0.177 hartree per atom
- Uncorrected formation energy: 0.77 eV/atom

***

A plane-wave DFT calculation with GGA-PBE was carried out for a geometry-optimized SnPIrS2 structure.

```
SnPIrS2
1.0
-0.8537 -4.6531 1.0294
1.3447 0.7681 4.5872
-4.7161 1.1293 1.1934
S P Ir Sn
2 1 1 1
Direct
0.5000 0.0000 0.0000 S
0.0000 0.5000 0.0000 S
0.0000 0.0000 0.5000 P
0.5000 0.5000 0.5000 Ir
0.0000 0.0000 0.0000 Sn
```

Summary:
- Density of states at the Fermi level: 6.46 states/eV/f.u.
- Total DFT energy (no corrections): -0.138 hartree per atom
- Uncorrected formation energy: 1.54 eV/atom

***

A plane-wave DFT calculation with GGA-PBE was carried out for a geometry-optimized SnPIrS2 structure.

```
SnPIrS2
1.0
4.9682 0.0000 0.0000
0.0000 4.9682 0.0000
0.0000 0.0000 4.3623
S Sn Ir P
2 1 1 1
Direct
0.5000 0.0000 0.0000 S
0.0000 0.5000 0.0000 S
0.5000 0.5000 0.5000 Sn
0.0000 0.0000 0.0000 Ir
0.0000 0.0000 0.5000 P
```

Summary:
- Density of states at the Fermi level: 3.84 states/eV/f.u.
- Total DFT energy (no corrections): -0.184 hartree per atom
- Uncorrected formation energy: 0.30 eV/atom

***

A plane-wave DFT calculation with GGA-PBE was carried out for a geometry-optimized SrP2IrS8 structure.

```
SrP2IrS8
1.0
5.8236 0.0000 0.0000
-2.9118 5.0434 0.0000
0.0000 0.0000 8.6044
S P Sr Ir
8 2 1 1
Direct
0.3144 0.3282 0.3295 S
0.6856 0.6718 0.6705 S
0.9862 0.3144 0.6705 S
0.0138 0.6856 0.3295 S
0.3282 0.0138 0.6705 S
0.3333 0.6667 0.9644 S
0.6718 0.9862 0.3295 S
0.6667 0.3333 0.0356 S
0.3333 0.6667 0.7294 P
0.6667 0.3333 0.2706 P
0.0000 0.0000 0.0000 Sr
0.0000 0.0000 0.5000 Ir
```

Summary:
- Density of states at the Fermi level: 12.43 states/eV/f.u.
- Total DFT energy (no corrections): -0.184 hartree per atom
- Uncorrected formation energy: -0.48 eV/atom

***

A plane-wave DFT calculation with GGA-PBE was carried out for a geometry-optimized TeP2IrS structure.

```
TeP2IrS
1.0
4.5640 0.0000 0.0000
0.0000 4.5640 0.0000
0.0000 0.0000 4.9280
P Te Ir S
2 1 1 1
Direct
0.0000 0.5000 0.0000 P
0.5000 0.0000 0.0000 P
0.5000 0.5000 0.5000 Te
0.0000 0.0000 0.0000 Ir
0.0000 0.0000 0.5000 S
```

Summary:
- Density of states at the Fermi level: 4.02 states/eV/f.u.
- Total DFT energy (no corrections): -0.178 hartree per atom
- Uncorrected formation energy: 0.54 eV/atom

***

A plane-wave DFT calculation with GGA-PBE was carried out for a geometry-optimized Th4PIrS2 structure.

```
Th4PIrS2
1.0
4.0505 0.0000 0.0000
0.0000 7.1593 -0.1408
0.0000 2.5245 6.8142
Th S P Ir
4 2 1 1
Direct
0.5000 0.7470 0.2523 Th
0.0000 0.7379 0.7595 Th
0.0000 0.2621 0.2405 Th
0.5000 0.2530 0.7477 Th
0.5000 0.0000 0.5000 S
0.0000 0.0000 0.0000 S
0.0000 0.5000 0.5000 P
0.5000 0.5000 0.0000 Ir
```

Summary:
- Density of states at the Fermi level: 5.73 states/eV/f.u.
- Total DFT energy (no corrections): -0.296 hartree per atom
- Uncorrected formation energy: -1.53 eV/atom

***

A plane-wave DFT calculation with GGA-PBE was carried out for a geometry-optimized Th6PIr3S2 structure.

```
Th6PIr3S2
1.0
4.0866 0.0000 0.0000
0.0000 8.5411 0.0401
-2.0433 -2.7378 8.8096
Th Ir S P
6 3 2 1
Direct
0.0053 0.7445 0.0106 Th
0.3380 0.4065 0.6760 Th
0.6620 0.5935 0.3240 Th
0.9947 0.2555 0.9894 Th
0.3311 0.9285 0.6621 Th
0.6689 0.0715 0.3379 Th
0.5000 0.5000 0.0000 Ir
0.1678 0.8326 0.3357 Ir
0.8322 0.1674 0.6643 Ir
0.1674 0.3347 0.3348 S
0.8326 0.6653 0.6652 S
0.5000 0.0000 0.0000 P
```

Summary:
- Density of states at the Fermi level: 10.85 states/eV/f.u.
- Total DFT energy (no corrections): -0.307 hartree per atom
- Uncorrected formation energy: -1.30 eV/atom

***

A plane-wave DFT calculation with GGA-PBE was carried out for a geometry-optimized Th6PIr2S3 structure.

```
Th6PIr2S3
1.0
-0.9569 3.9039 0.5889
-8.0557 -2.1631 1.2499
4.0202 -2.3385 8.0234
Ir Th S P
2 6 3 1
Direct
0.1666 0.3281 0.3332 Ir
0.8334 0.6719 0.6668 Ir
0.6674 0.0898 0.3348 Th
0.9971 0.7534 0.9942 Th
0.3306 0.4321 0.6611 Th
0.6694 0.5679 0.3389 Th
0.3326 0.9102 0.6652 Th
0.0029 0.2466 0.0058 Th
0.8379 0.1694 0.6757 S
0.1621 0.8306 0.3243 S
0.5000 0.5000 0.0000 S
0.5000 0.0000 0.0000 P
```

Summary:
- Density of states at the Fermi level: 9.94 states/eV/f.u.
- Total DFT energy (no corrections): -0.299 hartree per atom
- Uncorrected formation energy: -1.46 eV/atom

***

A plane-wave DFT calculation with GGA-PBE was carried out for a geometry-optimized Th6P2IrS3 structure.

```
Th6P2IrS3
1.0
4.0756 0.0000 0.0000
0.0000 8.2857 0.3474
-2.0378 -2.3370 8.6667
Th P S Ir
6 2 3 1
Direct
0.0013 0.2412 0.0026 Th
0.9987 0.7588 0.9974 Th
0.3331 0.9146 0.6662 Th
0.6669 0.0854 0.3338 Th
0.3324 0.4184 0.6648 Th
0.6676 0.5816 0.3352 Th
0.8326 0.6657 0.6652 P
0.1674 0.3342 0.3348 P
0.5000 0.5000 0.0000 S
0.1666 0.8323 0.3332 S
0.8334 0.1677 0.6668 S
0.5000 0.0000 0.0000 Ir
```

Summary:
- Density of states at the Fermi level: 9.77 states/eV/f.u.
- Total DFT energy (no corrections): -0.293 hartree per atom
- Uncorrected formation energy: -1.58 eV/atom

***

A plane-wave DFT calculation with GGA-PBE was carried out for a geometry-optimized Ti2PIrS structure.

```
Ti2PIrS
1.0
-2.6829 0.1607 -3.7853
1.4832 -3.8174 -1.2133
-3.4286 -2.0766 2.3420
P S Ti Ir
1 1 2 1
Direct
0.0000 0.0000 0.0000 P
0.5000 0.5000 0.5000 S
0.5000 0.0000 0.0000 Ti
0.0000 0.0000 0.5000 Ti
0.0000 0.5000 0.0000 Ir
```

Summary:
- Density of states at the Fermi level: 5.77 states/eV/f.u.
- Total DFT energy (no corrections): -0.250 hartree per atom
- Uncorrected formation energy: 0.03 eV/atom

***

A plane-wave DFT calculation with GGA-PBE was carried out for a geometry-optimized TiP2IrS structure.

```
TiP2IrS
1.0
-2.3686 -0.8985 3.7183
-0.0438 -4.3667 -1.0831
4.1637 -0.6601 2.4928
Ti P Ir S
1 2 1 1
Direct
0.5000 0.5000 0.5000 Ti
0.0000 0.5000 0.0000 P
0.5000 0.0000 0.0000 P
0.0000 0.0000 0.0000 Ir
0.0000 0.0000 0.5000 S
```

Summary:
- Density of states at the Fermi level: 7.43 states/eV/f.u.
- Total DFT energy (no corrections): -0.212 hartree per atom
- Uncorrected formation energy: 0.58 eV/atom

***

A plane-wave DFT calculation with GGA-PBE was carried out for a geometry-optimized TiP2IrS structure.

```
TiP2IrS
1.0
-0.6441 1.3351 -4.3936
2.5047 -3.6163 -1.4661
-3.7133 -2.4863 -0.2112
P Ir S Ti
2 1 1 1
Direct
0.5000 0.0000 0.0000 P
0.0000 0.5000 0.0000 P
0.5000 0.5000 0.5000 Ir
0.0000 0.0000 0.5000 S
0.0000 0.0000 0.0000 Ti
```

Summary:
- Density of states at the Fermi level: 4.68 states/eV/f.u.
- Total DFT energy (no corrections): -0.204 hartree per atom
- Uncorrected formation energy: 0.79 eV/atom

***

A plane-wave DFT calculation with GGA-PBE was carried out for a geometry-optimized TlP2IrS structure.

```
TlP2IrS
1.0
4.5272 0.0000 0.0000
0.0000 4.5272 0.0000
0.0000 0.0000 5.4200
Tl P Ir S
1 2 1 1
Direct
0.5000 0.5000 0.5000 Tl
0.5000 0.0000 0.0000 P
0.0000 0.5000 0.0000 P
0.0000 0.0000 0.0000 Ir
0.0000 0.0000 0.5000 S
```

Summary:
- Density of states at the Fermi level: 5.28 states/eV/f.u.
- Total DFT energy (no corrections): -0.178 hartree per atom
- Uncorrected formation energy: 0.40 eV/atom

***

A plane-wave DFT calculation with GGA-PBE was carried out for a geometry-optimized TlP2IrS structure.

```
TlP2IrS
1.0
-3.6706 2.0966 2.6018
-2.0308 -4.4690 0.7362
2.6412 -0.5176 4.1433
P S Tl Ir
2 1 1 1
Direct
0.0000 0.5000 0.0000 P
0.5000 0.0000 0.0000 P
0.0000 0.0000 0.5000 S
0.0000 0.0000 0.0000 Tl
0.5000 0.5000 0.5000 Ir
```

Summary:
- Density of states at the Fermi level: 5.65 states/eV/f.u.
- Total DFT energy (no corrections): -0.116 hartree per atom
- Uncorrected formation energy: 2.08 eV/atom

***

A plane-wave DFT calculation with GGA-PBE was carried out for a geometry-optimized ZnPIrS2 structure.

```
ZnPIrS2
1.0
4.8914 0.0000 0.0000
0.0000 4.8914 0.0000
0.0000 0.0000 4.3722
Ir S Zn P
1 2 1 1
Direct
0.0000 0.0000 0.0000 Ir
0.0000 0.5000 0.0000 S
0.5000 0.0000 0.0000 S
0.5000 0.5000 0.5000 Zn
0.0000 0.0000 0.5000 P
```

Summary:
- Density of states at the Fermi level: 4.77 states/eV/f.u.
- Total DFT energy (no corrections): -0.153 hartree per atom
- Uncorrected formation energy: 0.59 eV/atom

***

A plane-wave DFT calculation with GGA-PBE was carried out for a geometry-optimized ZnP2IrS structure.

```
ZnP2IrS
1.0
4.4636 0.0000 0.0000
0.0000 4.4636 0.0000
0.0000 0.0000 5.2880
P Ir S Zn
2 1 1 1
Direct
0.0000 0.5000 0.0000 P
0.5000 0.0000 0.0000 P
0.0000 0.0000 0.0000 Ir
0.0000 0.0000 0.5000 S
0.5000 0.5000 0.5000 Zn
```

Summary:
- Density of states at the Fermi level: 2.01 states/eV/f.u.
- Total DFT energy (no corrections): -0.162 hartree per atom
- Uncorrected formation energy: 0.61 eV/atom

***

A plane-wave DFT calculation with GGA-PBE was carried out for a geometry-optimized ZrP2IrS structure.

```
ZrP2IrS
1.0
-2.3843 4.3743 -0.2223
-2.3118 -1.4718 -4.1663
-3.5678 -1.8117 2.6198
Zr P Ir S
1 2 1 1
Direct
0.0000 0.0000 0.0000 Zr
0.0000 0.5000 0.0000 P
0.5000 0.0000 0.0000 P
0.5000 0.5000 0.5000 Ir
0.0000 0.0000 0.5000 S
```

Summary:
- Density of states at the Fermi level: 5.14 states/eV/f.u.
- Total DFT energy (no corrections): -0.200 hartree per atom
- Uncorrected formation energy: 1.04 eV/atom

***

A plane-wave DFT calculation with GGA-PBE was carried out for a geometry-optimized ZrP2IrS structure.

```
ZrP2IrS
1.0
4.5229 0.0000 0.0000
0.0000 4.5229 0.0000
0.0000 0.0000 4.8260
P Zr S Ir
2 1 1 1
Direct
0.0000 0.5000 0.0000 P
0.5000 0.0000 0.0000 P
0.5000 0.5000 0.5000 Zr
0.0000 0.0000 0.5000 S
0.0000 0.0000 0.0000 Ir
```

Summary:
- Density of states at the Fermi level: 6.21 states/eV/f.u.
- Total DFT energy (no corrections): -0.226 hartree per atom
- Uncorrected formation energy: 0.31 eV/atom

***

A plane-wave DFT calculation with GGA-PBE was carried out for a geometry-optimized Sb2PIr structure.

```
Sb2PIr
1.0
-1.9328 7.1953 4.1941
-2.8007 4.7069 6.5651
0.5651 5.7807 6.2740
P Sb Ir
1 2 1
Direct
0.2208 0.2208 0.2208 P
0.7659 0.7659 0.7659 Sb
0.0012 0.0012 0.0012 Sb
0.5120 0.5120 0.5120 Ir
```

Summary:
- Density of states at the Fermi level: 1.91 states/eV/f.u.
- Total DFT energy (no corrections): -0.207 hartree per atom
- Uncorrected formation energy: -0.01 eV/atom